This record from Alexandria describes an optimized crystal structure of CaMnAgF6. The functional is PBE with a Hubbard U.

Output
electronic total energy	-5.225	eV per atom
symmetry	No. 102
magnetization	0.438	μB per atom

Cell and atoms, written as POSCAR:
```
CaMnAgF6
1.0
5.220 0.000 0.000
0.000 5.220 0.000
0.000 0.000 10.224
Ca Mn Ag F
2 2 2 12
direct
0.000 0.000 0.000
0.500 0.500 0.500
0.000 0.000 0.662
0.500 0.500 0.162
0.000 0.000 0.325
0.500 0.500 0.825
0.172 0.172 0.804
0.185 0.185 0.526
0.217 0.217 0.150
0.283 0.717 0.650
0.315 0.685 0.026
0.328 0.672 0.304
0.672 0.328 0.304
0.685 0.315 0.026
0.717 0.283 0.650
0.783 0.783 0.150
0.815 0.815 0.526
0.828 0.828 0.804
```